Computed, not measured: KZr2F8 after structural relaxation at the GGA-PBE level of DFT.

Properties
Its magnetic moment is 2.004 μB/cell. The calculation puts the uncorrected formation energy at -3.377 eV/atom.

Geometry as CIF:
```
data_KZr2F8
_cell_length_a 12.337
_cell_length_b 6.801
_cell_length_c 4.216
_cell_angle_alpha 90.00
_cell_angle_beta 92.71
_cell_angle_gamma 90.00
_symmetry_space_group_name_H-M 'C 1 2/m 1'
_symmetry_Int_Tables_number 12
loop_
_symmetry_equiv_pos_as_xyz
'x,y,z'
'-x,-y,-z'
'-x,y,-z'
'x,-y,z'
'x+1/2,y+1/2,z'
'-x+1/2,-y+1/2,-z'
'-x+1/2,y+1/2,-z'
'x+1/2,-y+1/2,z'
loop_
_atom_site_label
_atom_site_type_symbol
_atom_site_fract_x
_atom_site_fract_y
_atom_site_fract_z
_atom_site_occupancy
K1 K 0.000 0.000 0.000 1
Zr1 Zr 0.205 0.500 0.453 1
F1 F 0.059 0.500 0.256 1
F2 F 0.153 0.194 0.541 1
F3 F 0.243 0.500 0.954 1
```